No. 1
Here is a geometry-optimized Pm4SiNiI2 structure from Alexandria via LeMat-Bulk. Energies are from PBE.

a = 7.562 Å, b = 4.116 Å, c = 8.070 Å
α = 90.00°, β = 106.61°, γ = 90.00°
Positions (direct):
Pm: 0.213 0.000 0.183
Pm: 0.263 0.500 0.802
Pm: 0.737 0.500 0.198
Pm: 0.787 0.000 0.817
Si: 0.500 0.000 0.000
Ni: 0.000 0.500 0.000
I: 0.000 0.000 0.500
I: 0.500 0.500 0.500

**Size of the total moment**: 0.00 μB/f.u.
**Formation energy without anion corrections**: -0.7586 eV/atom
**SG**: P2/m (10)

---

No. 2
Here is a geometry-optimized Pm8TcNi3I4 structure from Alexandria via LeMat-Bulk. Energies are from PBE.

a = 8.190 Å, b = 8.190 Å, c = 9.382 Å
α = 115.84°, β = 115.84°, γ = 60.09°
Positions (direct):
Pm: 0.227 0.731 0.687
Pm: 0.228 0.228 0.687
Pm: 0.269 0.773 0.313
Pm: 0.274 0.274 0.321
Pm: 0.726 0.726 0.679
Pm: 0.731 0.227 0.687
Pm: 0.772 0.772 0.313
Pm: 0.773 0.269 0.313
Tc: 0.000 0.000 0.500
Ni: 0.000 0.500 0.500
Ni: 0.500 0.000 0.500
Ni: 0.500 0.500 0.500
I: 0.000 0.000 0.000
I: 0.000 0.500 0.000
I: 0.500 0.000 0.000
I: 0.500 0.500 0.000

**Size of the total moment**: 0.00 μB/f.u.
**Formation energy without anion corrections**: -0.6185 eV/atom
**SG**: C2/m (12)

---

No. 3
Here is a geometry-optimized PmThNiI structure from Alexandria via LeMat-Bulk. Energies are from PBE.

a = 6.857 Å, b = 4.331 Å, c = 8.310 Å
α = 90.00°, β = 106.32°, γ = 90.00°
Positions (direct):
Pm: 0.000 0.000 0.000
Pm: 0.500 0.500 0.000
Th: 0.221 0.000 0.639
Th: 0.721 0.500 0.639
Ni: 0.106 0.500 0.807
Ni: 0.606 0.000 0.807
I: 0.268 0.500 0.318
I: 0.768 0.000 0.318

**Size of the total moment**: 0.00 μB/f.u.
**Formation energy without anion corrections**: -0.5853 eV/atom
**SG**: Cm (8)

---

No. 4
Here is a geometry-optimized Pr3NiI3 structure from Alexandria via LeMat-Bulk. Energies are from PBE.

a = 9.398 Å, b = 4.148 Å, c = 12.730 Å
α = 90.00°, β = 91.25°, γ = 90.00°
Positions (direct):
Pr: 0.085 0.250 0.387
Pr: 0.121 0.250 0.845
Pr: 0.314 0.750 0.622
Pr: 0.686 0.250 0.378
Pr: 0.879 0.750 0.155
Pr: 0.915 0.750 0.613
Ni: 0.117 0.250 0.626
Ni: 0.883 0.750 0.374
I: 0.142 0.250 0.117
I: 0.384 0.750 0.369
I: 0.384 0.750 0.875
I: 0.616 0.250 0.125
I: 0.616 0.250 0.631
I: 0.858 0.750 0.883

**Size of the total moment**: 0.00 μB/f.u.
**Formation energy without anion corrections**: -0.9607 eV/atom
**SG**: P2_1/m (11)

---

No. 5
Here is a geometry-optimized Pr4NiI5 structure from Alexandria via LeMat-Bulk. Energies are from PBE.

a = 10.156 Å, b = 10.156 Å, c = 9.200 Å
α = 102.61°, β = 102.61°, γ = 23.95°
Positions (direct):
Pr: 0.000 0.000 0.205
Pr: 0.000 0.000 0.795
Pr: 0.354 0.354 0.924
Pr: 0.646 0.646 0.076
Ni: 0.500 0.500 0.000
I: 0.167 0.167 0.348
I: 0.175 0.175 0.824
I: 0.500 0.500 0.500
I: 0.825 0.825 0.176
I: 0.833 0.833 0.652

**Size of the total moment**: 0.00 μB/f.u.
**Formation energy without anion corrections**: -1.0848 eV/atom
**SG**: C2/m (12)

---

No. 6
Here is a geometry-optimized Pr4NiI5 structure from Alexandria via LeMat-Bulk. Energies are from PBE.

a = 4.213 Å, b = 19.341 Å, c = 9.203 Å
α = 90.00°, β = 90.00°, γ = 90.00°
Positions (direct):
Pr: 0.250 0.104 0.130
Pr: 0.250 0.396 0.130
Pr: 0.250 0.750 0.077
Pr: 0.250 0.750 0.667
Pr: 0.750 0.250 0.333
Pr: 0.750 0.250 0.923
Pr: 0.750 0.604 0.870
Pr: 0.750 0.896 0.870
Ni: 0.250 0.250 0.126
Ni: 0.750 0.750 0.874
I: 0.250 0.250 0.630
I: 0.250 0.576 0.137
I: 0.250 0.582 0.609
I: 0.250 0.918 0.609
I: 0.250 0.924 0.137
I: 0.750 0.076 0.863
I: 0.750 0.082 0.391
I: 0.750 0.418 0.391
I: 0.750 0.424 0.863
I: 0.750 0.750 0.370

**Size of the total moment**: 0.00 μB/f.u.
**Formation energy without anion corrections**: -1.0847 eV/atom
**SG**: Pmmn (59)

---

No. 7
Here is a geometry-optimized Pr8NiPt3I4 structure from Alexandria via LeMat-Bulk. Energies are from PBE.

a = 9.535 Å, b = 9.535 Å, c = 9.535 Å
α = 53.35°, β = 53.35°, γ = 53.35°
Positions (direct):
Pr: 0.229 0.229 0.229
Pr: 0.236 0.725 0.725
Pr: 0.275 0.275 0.764
Pr: 0.275 0.764 0.275
Pr: 0.725 0.236 0.725
Pr: 0.725 0.725 0.236
Pr: 0.764 0.275 0.275
Pr: 0.771 0.771 0.771
Ni: 0.500 0.500 0.500
Pt: 0.000 0.000 0.500
Pt: 0.000 0.500 0.000
Pt: 0.500 0.000 0.000
I: 0.000 0.000 0.000
I: 0.000 0.500 0.500
I: 0.500 0.000 0.500
I: 0.500 0.500 0.000

**Size of the total moment**: 0.00 μB/f.u.
**Formation energy without anion corrections**: -0.9983 eV/atom
**SG**: R-3m (166)

---

No. 8
Here is a geometry-optimized Pr4NiPtI2 structure from Alexandria via LeMat-Bulk. Energies are from PBE.

a = 7.316 Å, b = 4.279 Å, c = 8.497 Å
α = 90.00°, β = 106.75°, γ = 90.00°
Positions (direct):
Pr: 0.224 0.000 0.184
Pr: 0.260 0.500 0.815
Pr: 0.740 0.500 0.185
Pr: 0.776 0.000 0.816
Ni: 0.000 0.500 0.000
Pt: 0.500 0.000 0.000
I: 0.000 0.000 0.500
I: 0.500 0.500 0.500

**Size of the total moment**: 0.00 μB/f.u.
**Formation energy without anion corrections**: -0.8813 eV/atom
**SG**: P2/m (10)

---

No. 9
Here is a geometry-optimized Pr8Ni3RhI4 structure from Alexandria via LeMat-Bulk. Energies are from PBE.

a = 8.372 Å, b = 8.372 Å, c = 9.487 Å
α = 116.27°, β = 116.27°, γ = 59.95°
Positions (direct):
Pr: 0.225 0.730 0.684
Pr: 0.227 0.227 0.682
Pr: 0.270 0.775 0.316
Pr: 0.271 0.271 0.316
Pr: 0.729 0.729 0.684
Pr: 0.730 0.225 0.684
Pr: 0.773 0.773 0.318
Pr: 0.775 0.270 0.316
Ni: 0.000 0.000 0.500
Ni: 0.000 0.500 0.500
Ni: 0.500 0.000 0.500
Rh: 0.500 0.500 0.500
I: 0.000 0.000 0.000
I: 0.000 0.500 0.000
I: 0.500 0.000 0.000
I: 0.500 0.500 0.000

**Size of the total moment**: 0.00 μB/f.u.
**Formation energy without anion corrections**: -0.7285 eV/atom
**SG**: C2/m (12)

---

No. 10
Here is a geometry-optimized Pr6NiRh2I3 structure from Alexandria via LeMat-Bulk. Energies are from PBE.

a = 7.275 Å, b = 7.275 Å, c = 8.548 Å
α = 98.16°, β = 98.16°, γ = 120.00°
Positions (direct):
Pr: 0.062 0.392 0.185
Pr: 0.269 0.269 0.815
Pr: 0.392 0.062 0.185
Pr: 0.608 0.938 0.815
Pr: 0.731 0.731 0.185
Pr: 0.938 0.608 0.815
Ni: 0.000 0.000 0.000
Rh: 0.333 0.667 0.000
Rh: 0.667 0.333 0.000
I: 0.167 0.833 0.500
I: 0.500 0.500 0.500
I: 0.833 0.167 0.500

**Size of the total moment**: 0.00 μB/f.u.
**Formation energy without anion corrections**: -0.8447 eV/atom
**SG**: C2/m (12)

---

No. 11
Here is a geometry-optimized Pr4NiRhI2 structure from Alexandria via LeMat-Bulk. Energies are from PBE.

a = 7.264 Å, b = 4.195 Å, c = 8.534 Å
α = 90.00°, β = 106.49°, γ = 90.00°
Positions (direct):
Pr: 0.225 0.000 0.183
Pr: 0.268 0.500 0.815
Pr: 0.732 0.500 0.185
Pr: 0.775 0.000 0.817
Ni: 0.000 0.500 0.000
Rh: 0.500 0.000 0.000
I: 0.000 0.000 0.500
I: 0.500 0.500 0.500

**Size of the total moment**: 0.00 μB/f.u.
**Formation energy without anion corrections**: -0.8001 eV/atom
**SG**: P2/m (10)

---

No. 12
Here is a geometry-optimized Pr6Ni2RuI3 structure from Alexandria via LeMat-Bulk. Energies are from PBE.

a = 7.215 Å, b = 7.215 Å, c = 8.545 Å
α = 98.10°, β = 98.10°, γ = 120.01°
Positions (direct):
Pr: 0.062 0.392 0.185
Pr: 0.269 0.269 0.815
Pr: 0.392 0.062 0.185
Pr: 0.608 0.938 0.815
Pr: 0.731 0.731 0.185
Pr: 0.938 0.608 0.815
Ni: 0.333 0.667 0.000
Ni: 0.667 0.333 0.000
Ru: 0.000 0.000 0.000
I: 0.166 0.834 0.500
I: 0.500 0.500 0.500
I: 0.834 0.166 0.500

**Size of the total moment**: 0.00 μB/f.u.
**Formation energy without anion corrections**: -0.6803 eV/atom
**SG**: C2/m (12)